Density functional theory data (PBE) for a relaxed structure of TmFe2.

## Properties
**Formation energy from the elements**: -124 meV per atom
**Volume**: 15.6 Å³ per atom

Cell lengths 5.1096, 5.1096, 8.2535 Å; angles 90.00, 90.00, 120.00 degrees
Space group P6_3/mmc (No. 194)
Inequivalent atoms, fractional coordinates:
Tm 0.3333 0.6667 0.0622 x4
Fe 0.0000 0.0000 0.0000 x2
Fe 0.1665 0.3329 0.7500 x6

Density functional theory data (PBE) for a relaxed structure of Tm4Fe.

## Properties
**Formation energy from the elements**: 422 meV per atom
**Volume**: 27.6 Å³ per atom

Cell lengths 10.334, 10.334, 10.334 Å; angles 90.00, 90.00, 90.00 degrees
Space group Fd-3m (No. 227, origin choice 2)
Inequivalent atoms, fractional coordinates:
Tm 0.011 0.011 0.239 x32
Fe 0.125 0.125 0.625 x8

Density functional theory data (PBE) for a relaxed structure of Tm3Fe.

## Properties
**Formation energy from the elements**: 69 meV per atom
**Volume**: 25.8 Å³ per atom

Cell lengths 6.502, 10.613, 5.994 Å; angles 90.00, 93.39, 90.00 degrees
Space group C2/m (No. 12)
Inequivalent atoms, fractional coordinates:
Tm 0.158 0.167 0.268 x8
Tm 0.185 0.500 0.229 x4
Fe 0.000 0.360 0.500 x4

Density functional theory data (PBE) for a relaxed structure of Tm3Fe.

## Properties
**Formation energy from the elements**: 47 meV per atom
**Volume**: 23.7 Å³ per atom

Cell lengths 3.450, 10.531, 5.218 Å; angles 90.00, 90.00, 90.00 degrees
Space group Imm2 (No. 44)
Inequivalent atoms, fractional coordinates:
Tm 0.000 0.000 0.000 x2
Tm 0.000 0.194 0.500 x4
Fe 0.000 0.500 0.994 x2

Density functional theory data (PBE) for a relaxed structure of TmFe3.

## Properties
**Formation energy from the elements**: -116 meV per atom
**Volume**: 14.7 Å³ per atom

Cell lengths 5.0447, 5.0447, 16.0307 Å; angles 90.00, 90.00, 120.00 degrees
Space group P6_3/mmc (No. 194)
Inequivalent atoms, fractional coordinates:
Tm 0.3333 0.6667 0.0371 x4
Tm 0.3333 0.6667 0.2500 x2
Fe 0.0000 0.0000 0.0000 x2
Fe 0.0000 0.0000 0.2500 x2
Fe 0.1673 0.3345 0.6272 x12
Fe 0.3333 0.6667 0.7500 x2

Density functional theory data (PBE) for a relaxed structure of Tm2Fe7.

## Properties
**Formation energy from the elements**: -101 meV per atom
**Volume**: 14.4 Å³ per atom

Cell lengths 5.0089, 5.0089, 35.8045 Å; angles 90.00, 90.00, 120.00 degrees
Space group R-3m (No. 166, hexagonal axes)
Inequivalent atoms, fractional coordinates:
Tm 0.0000 0.0000 0.0525 x6
Tm 0.0000 0.0000 0.1495 x6
Fe 0.0000 0.0000 0.2787 x6
Fe 0.0000 0.0000 0.3877 x6
Fe 0.0000 0.0000 0.5000 x3
Fe 0.0000 0.5000 0.0000 x9
Fe 0.0011 0.5005 0.8903 x18

Density functional theory data (PBE) for a relaxed structure of Tm2Fe3.

## Properties
**Formation energy from the elements**: -69 meV per atom
**Volume**: 17.5 Å³ per atom

Cell lengths 5.018, 9.554, 7.299 Å; angles 90.00, 90.00, 90.00 degrees
Space group Cmce (No. 64)
Inequivalent atoms, fractional coordinates:
Tm 0.000 0.161 0.098 x8
Fe 0.000 0.000 0.500 x4
Fe 0.250 0.086 0.750 x8

Density functional theory data (PBE) for a relaxed structure of TmFe3.

## Properties
**Formation energy from the elements**: -115 meV per atom
**Volume**: 14.7 Å³ per atom

Cell lengths 5.0410, 5.0410, 24.0209 Å; angles 90.00, 90.00, 120.00 degrees
Space group R-3m (No. 166, hexagonal axes)
Inequivalent atoms, fractional coordinates:
Tm 0.0000 0.0000 0.0000 x3
Tm 0.0000 0.0000 0.1419 x6
Fe 0.0000 0.0000 0.3330 x6
Fe 0.0000 0.0000 0.5000 x3
Fe 0.0007 0.5003 0.9181 x18

Density functional theory data (PBE) for a relaxed structure of TmFe4.

## Properties
**Formation energy from the elements**: 1902 meV per atom
**Volume**: 18.9 Å³ per atom

Cell lengths 4.554, 4.554, 4.554 Å; angles 90.00, 90.00, 90.00 degrees
Space group Pm-3m (No. 221)
Inequivalent atoms, fractional coordinates:
Tm 0.000 0.000 0.000 x1
Fe 0.000 0.000 0.500 x3
Fe 0.500 0.500 0.500 x1

Density functional theory data (PBE) for a relaxed structure of Tm3Fe.

## Properties
**Formation energy from the elements**: 295 meV per atom
**Volume**: 25.8 Å³ per atom

Cell lengths 3.289, 3.570, 8.780 Å; angles 90.00, 90.00, 90.00 degrees
Space group Pmm2 (No. 25)
Inequivalent atoms, fractional coordinates:
Tm 0.000 0.000 0.000 x1
Tm 0.000 0.500 0.343 x1
Tm 0.500 0.500 0.713 x1
Fe 0.500 0.000 0.491 x1

Density functional theory data (PBE) for a relaxed structure of TmFe6.

## Properties
**Formation energy from the elements**: 594 meV per atom
**Volume**: 15.3 Å³ per atom

Cell lengths 5.989, 5.989, 5.989 Å; angles 90.00, 90.00, 90.00 degrees
Space group Im-3m (No. 229)
Inequivalent atoms, fractional coordinates:
Tm 0.000 0.000 0.000 x2
Fe 0.000 0.250 0.500 x12

Density functional theory data (PBE) for a relaxed structure of TmFe.

## Properties
**Formation energy from the elements**: -66 meV per atom
**Volume**: 21.5 Å³ per atom

Cell lengths 6.740, 3.890, 6.936 Å; angles 90.00, 108.82, 90.00 degrees
Space group C2/m (No. 12)
Inequivalent atoms, fractional coordinates:
Tm 0.090 0.000 0.272 x4
Fe 0.171 0.500 0.012 x4